Ac2Ga3Ir4Au | PBE-GGA | relaxed

POSCAR file:
```
Ac2Ga3Ir4Au
1.0
4.354 0.000 0.000
0.000 4.354 0.000
0.000 0.000 10.771
Ac Ga Ir Au
2 3 4 1
Direct
0.000 0.500 0.245
0.500 0.000 0.755
0.000 0.500 0.882
0.500 0.000 0.118
0.500 0.500 0.500
0.000 0.000 0.000
0.000 0.500 0.650
0.500 0.000 0.350
0.500 0.500 0.000
0.000 0.000 0.500
```

Results
Magnetic moment in μB per formula unit: 0.00
Electronic total energy in eV per formula unit: -61.88